Record 1
## Mg2TaN2 (PBE)

Data for a geometry-optimized Mg2TaN2 structure.

Unit cell a=3.928 b=3.928 c=7.912 alpha=90.00 beta=90.00 gamma=90.00
Space group I4/mmm (No. 139)
One atom of each set of equivalent atoms:
Mg1 0.000 0.000 0.165 (multiplicity 4)
Ta1 0.000 0.000 0.500 (multiplicity 2)
N1 0.000 0.500 0.250 (multiplicity 4)

Properties
mass density = 7.01 g cm⁻³
size of the total moment = 0.77 μB/f.u.
energy = -5.836 eV/atom

Record 2
## TbEr3Th2Bi6 (PBE)

Data for a geometry-optimized TbEr3Th2Bi6 structure.

Unit cell a=19.624 b=4.516 c=8.999 alpha=90.00 beta=103.08 gamma=90.00
Space group C2/m (No. 12)
One atom of each set of equivalent atoms:
Tb1 0.000 0.000 0.000 (multiplicity 2)
Er1 0.000 0.000 0.500 (multiplicity 2)
Er2 0.167 0.500 0.834 (multiplicity 4)
Th1 0.165 0.500 0.331 (multiplicity 4)
Bi1 0.003 0.500 0.749 (multiplicity 4)
Bi2 0.165 0.000 0.590 (multiplicity 4)
Bi3 0.167 0.000 0.076 (multiplicity 4)

Properties
mass density = 10.17 g cm⁻³
energy relative to the elements = -8.90 eV per formula unit
size of the total moment = 0.00 μB/f.u.
energy = -5.445 eV/atom

Record 3
## ZrMnSb2 (PBE)

Data for a geometry-optimized ZrMnSb2 structure.

Unit cell a=14.921 b=3.921 c=6.073 alpha=90.00 beta=91.31 gamma=90.00
Space group Cm (No. 8)
One atom of each set of equivalent atoms:
Zr1 0.000 0.000 0.000 (multiplicity 2)
Zr2 0.245 0.000 0.515 (multiplicity 2)
Mn1 0.191 0.000 0.032 (multiplicity 2)
Mn2 0.293 0.500 0.196 (multiplicity 2)
Sb1 0.111 0.500 0.278 (multiplicity 2)
Sb2 0.125 0.500 0.774 (multiplicity 2)
Sb3 0.356 0.000 0.942 (multiplicity 2)
Sb4 0.411 0.500 0.515 (multiplicity 2)

Properties
mass density = 7.29 g cm⁻³
size of the total moment = 2.35 μB/f.u.
energy = -6.706 eV/atom

Record 4
## Tl3Au5Br12 (PBE)

Data for a geometry-optimized Tl3Au5Br12 structure.

Unit cell a=17.544 b=17.544 c=17.544 alpha=90.00 beta=90.00 gamma=90.00
Space group Ia-3d (No. 230)
One atom of each set of equivalent atoms:
Tl1 0.000 0.250 0.125 (multiplicity 24)
Au1 0.000 0.000 0.000 (multiplicity 16)
Au2 0.000 0.250 0.375 (multiplicity 24)
Br1 0.030 0.048 0.645 (multiplicity 96)

Properties
mass density = 6.29 g cm⁻³
size of the total moment = 0.00 μB/f.u.
energy = -2.437 eV/atom

Record 5
## TaIr2Se (PBE)

Data for a geometry-optimized TaIr2Se structure.

Unit cell a=2.9253 b=2.9253 c=26.1602 alpha=90.00 beta=90.00 gamma=120.00
Space group R-3m (No. 166, hexagonal axes)
One atom of each set of equivalent atoms:
Ta1 0.0000 0.0000 0.0000 (multiplicity 3)
Ir1 0.0000 0.0000 0.2491 (multiplicity 6)
Se1 0.0000 0.0000 0.5000 (multiplicity 3)

Properties
mass density = 16.56 g cm⁻³
size of the total moment = 0.00 μB/f.u.
energy = -8.277 eV/atom

Record 6
## Al2TeF (PBE)

Data for a geometry-optimized Al2TeF structure.

Unit cell a=6.807 b=6.807 c=6.807 alpha=90.00 beta=90.00 gamma=90.00
Space group Fm-3m (No. 225)
One atom of each set of equivalent atoms:
Al1 0.250 0.250 0.250 (multiplicity 8)
Te1 0.000 0.000 0.000 (multiplicity 4)
F1 0.000 0.000 0.500 (multiplicity 4)

Properties
mass density = 4.22 g cm⁻³
size of the total moment = 0.00 μB/f.u.
energy = -3.603 eV/atom

Record 7
## La3TbTl4 (PBE)

Data for a geometry-optimized La3TbTl4 structure.

Unit cell a=3.868 b=3.868 c=16.318 alpha=90.00 beta=90.00 gamma=90.00
Space group P4/mmm (No. 123)
One atom of each set of equivalent atoms:
La1 0.000 0.000 0.000 (multiplicity 1)
La2 0.000 0.000 0.258 (multiplicity 2)
Tb1 0.000 0.000 0.500 (multiplicity 1)
Tl1 0.500 0.500 0.129 (multiplicity 2)
Tl2 0.500 0.500 0.388 (multiplicity 2)

Properties
mass density = 9.47 g cm⁻³
energy relative to the elements = -3.28 eV per formula unit
size of the total moment = 0.00 μB/f.u.
energy = -4.020 eV/atom

Record 8
## SbSe (PBE)

Data for a geometry-optimized SbSe structure.

Unit cell a=4.3865 b=4.3865 c=6.7518 alpha=90.00 beta=90.00 gamma=120.00
Space group P6_3/mmc (No. 194)
One atom of each set of equivalent atoms:
Sb1 0.0000 0.0000 0.0000 (multiplicity 2)
Se1 0.3333 0.6667 0.2500 (multiplicity 2)

Properties
mass density = 5.93 g cm⁻³
size of the total moment = 0.00 μB/f.u.
energy = -3.772 eV/atom

Record 9
## Th3Al3Os2 (PBE)

Data for a geometry-optimized Th3Al3Os2 structure.

Unit cell a=7.889 b=15.519 c=5.857 alpha=90.00 beta=90.00 gamma=90.00
Space group Pnma (No. 62)
One atom of each set of equivalent atoms:
Th1 0.028 0.109 0.096 (multiplicity 8)
Th2 0.161 0.250 0.622 (multiplicity 4)
Al1 0.155 0.035 0.590 (multiplicity 8)
Al2 0.184 0.750 0.612 (multiplicity 4)
Os1 0.139 0.608 0.367 (multiplicity 8)

Properties
mass density = 10.72 g cm⁻³
energy relative to the elements = -3.42 eV per formula unit
size of the total moment = 0.00 μB/f.u.
energy = -7.421 eV/atom

Record 10
## Ti12Mn3Au5 (PBE)

Data for a geometry-optimized Ti12Mn3Au5 structure.

Unit cell a=14.859 b=14.859 c=14.859 alpha=90.00 beta=90.00 gamma=90.00
Space group Ia-3d (No. 230)
One atom of each set of equivalent atoms:
Ti1 0.011 0.087 0.652 (multiplicity 96)
Mn1 0.000 0.250 0.125 (multiplicity 24)
Au1 0.000 0.000 0.000 (multiplicity 16)
Au2 0.000 0.250 0.375 (multiplicity 24)

Properties
mass density = 6.98 g cm⁻³
energy relative to the elements = 6.74 eV per formula unit
size of the total moment = 4.05 μB/f.u.
energy = -6.595 eV/atom

Record 11
## BaCd2Pd (PBE)

Data for a geometry-optimized BaCd2Pd structure.

Unit cell a=5.289 b=5.289 c=19.198 alpha=90.00 beta=90.00 gamma=90.00
Space group I-42d (No. 122)
One atom of each set of equivalent atoms:
Ba1 0.000 0.000 0.000 (multiplicity 4)
Cd1 0.041 0.250 0.625 (multiplicity 8)
Pd1 0.000 0.000 0.500 (multiplicity 4)

Properties
mass density = 5.79 g cm⁻³
energy relative to the elements = -0.85 eV per formula unit
size of the total moment = 0.00 μB/f.u.
energy = -2.449 eV/atom

Record 12
## TbPrTmPu (PBE)

Data for a geometry-optimized TbPrTmPu structure.

Unit cell a=7.967 b=7.967 c=7.967 alpha=90.00 beta=90.00 gamma=90.00
Space group F-43m (No. 216)
One atom of each set of equivalent atoms:
Tb1 0.000 0.000 0.000 (multiplicity 4)
Pr1 0.000 0.000 0.500 (multiplicity 4)
Tm1 0.250 0.250 0.250 (multiplicity 4)
Pu1 0.250 0.250 0.750 (multiplicity 4)

Properties
mass density = 9.36 g cm⁻³
energy relative to the elements = 0.83 eV per formula unit
size of the total moment = 7.48 μB/f.u.
energy = -6.845 eV/atom

Record 13
## PrGdPd4 (PBE)

Data for a geometry-optimized PrGdPd4 structure.

Unit cell a=7.792 b=7.792 c=7.792 alpha=90.00 beta=90.00 gamma=90.00
Space group F-43m (No. 216)
One atom of each set of equivalent atoms:
Pr1 0.000 0.000 0.000 (multiplicity 4)
Gd1 0.250 0.250 0.750 (multiplicity 4)
Pd1 0.125 0.125 0.375 (multiplicity 16)

Properties
mass density = 10.16 g cm⁻³
energy relative to the elements = -4.66 eV per formula unit
size of the total moment = 7.06 μB/f.u.
energy = -7.381 eV/atom

Record 14
## Nd2InSb (PBE)

Data for a geometry-optimized Nd2InSb structure.

Unit cell a=4.080 b=4.080 c=7.001 alpha=90.00 beta=90.00 gamma=90.00
Space group P4/mmm (No. 123)
One atom of each set of equivalent atoms:
Nd1 0.000 0.000 0.241 (multiplicity 2)
In1 0.500 0.500 0.500 (multiplicity 1)
Sb1 0.500 0.500 0.000 (multiplicity 1)

Properties
mass density = 7.48 g cm⁻³
size of the total moment = 0.00 μB/f.u.
energy = -4.816 eV/atom

Record 15
## LiPPdS2 (PBE)

Data for a geometry-optimized LiPPdS2 structure.

Unit cell a=4.967 b=4.967 c=4.426 alpha=90.00 beta=90.00 gamma=90.00
Space group P4/mmm (No. 123)
One atom of each set of equivalent atoms:
Li1 0.000 0.000 0.000 (multiplicity 1)
P1 0.500 0.500 0.000 (multiplicity 1)
Pd1 0.500 0.500 0.500 (multiplicity 1)
S1 0.000 0.500 0.500 (multiplicity 2)

Properties
mass density = 3.17 g cm⁻³
size of the total moment = 0.00 μB/f.u.
energy = -3.897 eV/atom

Record 16
## LiBe3Au9 (PBE)

Data for a geometry-optimized LiBe3Au9 structure.

Unit cell a=5.386 b=13.369 c=6.280 alpha=90.00 beta=107.33 gamma=90.00
Space group C2/m (No. 12)
One atom of each set of equivalent atoms:
Li1 0.000 0.000 0.000 (multiplicity 2)
Be1 0.000 0.500 0.500 (multiplicity 2)
Be2 0.250 0.250 0.000 (multiplicity 4)
Au1 0.000 0.000 0.500 (multiplicity 2)
Au2 0.067 0.391 0.232 (multiplicity 8)
Au3 0.099 0.178 0.291 (multiplicity 8)

Properties
mass density = 13.90 g cm⁻³
energy relative to the elements = -1.84 eV per formula unit
size of the total moment = 0.00 μB/f.u.
energy = -3.417 eV/atom

Record 17
## BP2Pd (PBE)

Data for a geometry-optimized BP2Pd structure.

Unit cell a=5.201 b=5.201 c=8.823 alpha=90.00 beta=90.00 gamma=90.00
Space group I-42d (No. 122)
One atom of each set of equivalent atoms:
B1 0.000 0.000 0.000 (multiplicity 4)
P1 0.189 0.250 0.125 (multiplicity 8)
Pd1 0.000 0.000 0.500 (multiplicity 4)

Properties
mass density = 4.99 g cm⁻³
energy relative to the elements = -0.52 eV per formula unit
size of the total moment = 0.00 μB/f.u.
energy = -5.804 eV/atom